Here is crystalline AlCrCu2 at its relaxed geometry from Alexandria. Energies are from PBE.

Cell lengths 5.2377, 7.5526, 2.5753 Å; angles 90.00, 90.00, 90.00 degrees
Fractional positions:
Al 0.0000 0.0000 0.0000
Al 0.5000 0.5000 0.0000
Cr 0.0000 0.5000 0.0000
Cr 0.5000 0.0000 0.0000
Cu 0.2500 0.2500 0.5000
Cu 0.2500 0.7500 0.5000
Cu 0.7500 0.2500 0.5000
Cu 0.7500 0.7500 0.5000

Values from the calculation:
The value obtained for the calculated volume is 102 Å³/cell. The formation energy is 0.128 eV per atom. For the mass density, the calculation gives 6.72 Mg/m³. For the total magnetic moment, the calculation gives 1.51 μB/f.u. The calculation puts the total energy at -5.26 eV per atom. Its density of states at the Fermi level is 0.7044 states/eV/atom.

Here is crystalline Al6CrCu at its relaxed geometry from Alexandria. Energies are from PBE.

Cell lengths 4.4178, 11.7371, 5.3439 Å; angles 90.00, 93.18, 90.00 degrees
Fractional positions:
Al 0.0135 0.0000 0.2477
Al 0.1102 0.3130 0.2558
Al 0.1102 0.6870 0.2558
Al 0.3898 0.1870 0.7442
Al 0.3898 0.8130 0.7442
Al 0.4865 0.5000 0.7523
Al 0.5135 0.5000 0.2477
Al 0.6102 0.1870 0.2558
Al 0.6102 0.8130 0.2558
Al 0.8898 0.3130 0.7442
Al 0.8898 0.6870 0.7442
Al 0.9865 0.0000 0.7523
Cr 0.0000 0.5000 0.0000
Cr 0.5000 0.0000 0.0000
Cu 0.0000 0.5000 0.5000
Cu 0.5000 0.0000 0.5000

Values from the calculation:
The value obtained for the calculated volume is 277 Å³/cell. The formation energy is 0.089 eV per atom. For the mass density, the calculation gives 3.33 Mg/m³. For the total magnetic moment, the calculation gives 2.61 μB/f.u. The calculation puts the total energy at -4.43 eV per atom. Its density of states at the Fermi level is 0.5007 states/eV/atom.

Here is crystalline Al4CrCu at its relaxed geometry from Alexandria. Energies are from PBE.

Cell lengths 4.0289, 4.0289, 6.2895 Å; angles 90.00, 90.00, 90.00 degrees
Fractional positions:
Al 0.0000 0.5000 0.2425
Al 0.0000 0.5000 0.7575
Al 0.5000 0.0000 0.2425
Al 0.5000 0.0000 0.7575
Cr 0.0000 0.0000 0.5000
Cu 0.5000 0.5000 0.0000

Values from the calculation:
The value obtained for the calculated volume is 102 Å³/cell. The formation energy is 0.075 eV per atom. For the mass density, the calculation gives 3.63 Mg/m³. For the total magnetic moment, the calculation gives 2.10 μB/f.u. For the energy above the most stable polymorph in this dataset, the calculation gives 0 meV per atom. The calculation puts the total energy at -4.71 eV per atom. Its density of states at the Fermi level is 0.6118 states/eV/atom.

Here is crystalline AlCrCu3 at its relaxed geometry from Alexandria. Energies are from PBE.

Cell lengths 4.3494, 4.3494, 4.3494 Å; angles 90.00, 90.00, 90.00 degrees
Fractional positions:
Al 0.0000 0.0000 0.0000
Cr 0.5000 0.5000 0.5000
Cu 0.0000 0.0000 0.5000
Cu 0.0000 0.5000 0.0000
Cu 0.5000 0.0000 0.0000

Values from the calculation:
The value obtained for the calculated volume is 82 Å³/cell. The formation energy is 1.185 eV per atom. For the mass density, the calculation gives 5.44 Mg/m³. For the total magnetic moment, the calculation gives 0.19 μB/f.u. For the energy above the most stable polymorph in this dataset, the calculation gives 14 meV per atom. The calculation puts the total energy at -3.95 eV per atom. Its density of states at the Fermi level is 1.0158 states/eV/atom.

- Which value of calculated volume does entry 3 give?
  102 Å³/cell